--- 1 ---
VASP calculation (PBE-GGA) on Tl2VN after structural relaxation.

Lattice parameters (Å, degrees): 5.9615 5.9615 5.9615 102.38 102.38 124.83
Closest atoms and distances in Å follow each position.
Atoms (fractional coordinates):
Tl1 0.0573 0.6250 0.9323  2 N 2.41
Tl2 0.3750 0.3073 0.4323  2 N 2.41
Tl3 0.6927 0.1250 0.0677  2 N 2.41
Tl4 0.8750 0.9427 0.5677  2 N 2.41
V1 0.2500 0.7500 0.5000  2 N 2.76
V2 0.5000 0.5000 0.0000  2 N 2.76
N1 0.0000 0.0000 0.0000  4 Tl 2.41
N2 0.7500 0.2500 0.5000  4 Tl 2.41

Values from the calculation:
As for the density of states at the Fermi level: 0.77 states/eV/atom.


--- 2 ---
VASP calculation (PBE-GGA) on Tl2VN after structural relaxation.

Lattice parameters (Å, degrees): 4.7828 4.7828 4.7828 60.00 60.00 60.00
Closest atoms and distances in Å follow each position.
Atoms (fractional coordinates):
Tl1 0.2500 0.2500 0.2500  4 N 2.93, 4 V 2.93
Tl2 0.7500 0.7500 0.7500  4 V 2.93, 4 N 2.93
V1 0.0000 0.0000 0.0000  8 Tl 2.93
N1 0.5000 0.5000 0.5000  8 Tl 2.93

Values from the calculation:
As for the density of states at the Fermi level: 0.90 states/eV/atom.


Question: which arrangement is favored energetically? Ranking from most to least stable: 1, 2.


--- 1 ---
VASP calculation (PBE-GGA) on TlVN2 after structural relaxation.

Lattice parameters (Å, degrees): 5.7976 5.7976 5.7976 120.93 120.93 88.40
Closest atoms and distances in Å follow each position.
Atoms (fractional coordinates):
Tl1 0.0000 0.0000 0.0000  4 N 3.03
Tl2 0.7500 0.2500 0.5000  4 N 3.03
V1 0.2500 0.7500 0.5000  4 N 1.81
V2 0.5000 0.5000 0.0000  4 N 1.81
N1 0.3055 0.6250 0.1805  2 V 1.81
N2 0.3750 0.5555 0.6805  2 V 1.81
N3 0.4445 0.1250 0.8195  2 V 1.81
N4 0.8750 0.6945 0.3195  2 V 1.81


--- 2 ---
VASP calculation (PBE-GGA) on TlVN2 after structural relaxation.

Lattice parameters (Å, degrees): 4.0476 4.0476 4.0476 60.00 60.00 60.00
Closest atoms and distances in Å follow each position.
Atoms (fractional coordinates):
Tl1 0.0000 0.0000 0.0000  8 N 2.48
V1 0.5000 0.5000 0.5000  8 N 2.48
N1 0.2500 0.2500 0.2500  4 V 2.48, 4 Tl 2.48
N2 0.7500 0.7500 0.7500  4 V 2.48, 4 Tl 2.48

Values from the calculation:
As for the density of states at the Fermi level: 0.19 states/eV/atom.


--- 3 ---
VASP calculation (PBE-GGA) on TlVN2 after structural relaxation.

Lattice parameters (Å, degrees): 7.1934 7.1934 7.1934 23.93 23.93 23.93
Closest atoms and distances in Å follow each position.
Atoms (fractional coordinates):
Tl1 0.0000 0.0000 0.0000  2 N 2.46
V1 0.5000 0.5000 0.5000  6 N 2.01
N1 0.1175 0.1175 0.1175  3 V 2.01
N2 0.8825 0.8825 0.8825  3 V 2.01

Values from the calculation:
As for the density of states at the Fermi level: 0.29 states/eV/atom.


Question: which arrangement is favored energetically? Ranking from most to least stable: 1, 3, 2.


--- 1 ---
VASP calculation (PBE-GGA) on TlW2N after structural relaxation.

Lattice parameters (Å, degrees): 6.8116 6.8116 6.8116 135.06 135.06 65.43
Closest atoms and distances in Å follow each position.
Atoms (fractional coordinates):
Tl1 0.0000 0.0000 0.0000  4 W 2.90
Tl2 0.7500 0.2500 0.5000  4 W 2.90
W1 0.2892 0.6250 0.1642  2 N 1.99
W2 0.3750 0.5392 0.6642  2 N 1.99
W3 0.4608 0.1250 0.8358  2 N 1.99
W4 0.8750 0.7108 0.3358  2 N 1.99
N1 0.2500 0.7500 0.5000  4 W 1.99
N2 0.5000 0.5000 0.0000  4 W 1.99

Values from the calculation:
As for the density of states at the Fermi level: 0.81 states/eV/atom.


--- 2 ---
VASP calculation (PBE-GGA) on TlW2N after structural relaxation.

Lattice parameters (Å, degrees): 4.4195 4.4195 4.4195 60.00 60.00 60.00
Closest atoms and distances in Å follow each position.
Atoms (fractional coordinates):
Tl1 0.0000 0.0000 0.0000  8 W 2.71
W1 0.2500 0.2500 0.2500  4 Tl 2.71, 4 N 2.71
W2 0.7500 0.7500 0.7500  4 Tl 2.71, 4 N 2.71
N1 0.5000 0.5000 0.5000  8 W 2.71

Values from the calculation:
As for the density of states at the Fermi level: 0.50 states/eV/atom.


Question: which arrangement is favored energetically? Ranking from most to least stable: 1, 2.


--- 1 ---
VASP calculation (PBE-GGA) on TlW3N after structural relaxation.

Lattice parameters (Å, degrees): 4.9695 4.9695 4.9695 90.00 90.00 90.00
Closest atoms and distances in Å follow each position.
Atoms (fractional coordinates):
Tl1 0.0000 0.0000 0.0000  6 W 2.48
W1 0.0000 0.0000 0.5000  2 Tl 2.48
W2 0.0000 0.5000 0.0000  2 Tl 2.48
W3 0.5000 0.0000 0.0000  2 Tl 2.48
N1 0.5000 0.5000 0.5000  12 W 3.51

Values from the calculation:
As for the density of states at the Fermi level: 1.67 states/eV/atom.


--- 2 ---
VASP calculation (PBE-GGA) on TlW3N after structural relaxation.

Lattice parameters (Å, degrees): 4.2196 4.2196 4.2196 90.00 90.00 90.00
Closest atoms and distances in Å follow each position.
Atoms (fractional coordinates):
Tl1 0.0000 0.0000 0.0000  12 W 2.98
W1 0.0000 0.5000 0.5000  2 N 2.11
W2 0.5000 0.0000 0.5000  2 N 2.11
W3 0.5000 0.5000 0.0000  2 N 2.11
N1 0.5000 0.5000 0.5000  6 W 2.11

Values from the calculation:
As for the density of states at the Fermi level: 0.77 states/eV/atom.


Question: which arrangement is favored energetically? Ranking from most to least stable: 2, 1.


--- 1 ---
VASP calculation (PBE-GGA) on YTl2N2 after structural relaxation.

Lattice parameters (Å, degrees): 5.5465 5.5465 5.5465 132.18 132.18 69.94
Closest atoms and distances in Å follow each position.
Atoms (fractional coordinates):
Y1 0.0000 0.0000 0.0000  10 Tl 3.13-3.48, 8 N 3.20
Tl1 0.3441 0.3441 0.0000  4 N 2.41
Tl2 0.6559 0.6559 0.0000  4 N 2.41
N1 0.2500 0.7500 0.5000  4 Tl 2.41
N2 0.7500 0.2500 0.5000  4 Tl 2.41

Values from the calculation:
As for the density of states at the Fermi level: 0.82 states/eV/atom.


--- 2 ---
VASP calculation (PBE-GGA) on YTl2N2 after structural relaxation.

Lattice parameters (Å, degrees): 7.7249 7.7249 3.3204 90.00 90.00 90.00
Closest atoms and distances in Å follow each position.
Atoms (fractional coordinates):
Y1 0.0000 0.0000 0.0000  4 Tl 3.07, 8 N 3.20, 2 Y 3.32
Y2 0.5000 0.5000 0.0000  4 Tl 3.07, 8 N 3.20, 2 Y 3.32
Tl1 0.1227 0.3773 0.0000  2 N 2.28
Tl2 0.3773 0.8773 0.0000  2 N 2.28
Tl3 0.6227 0.1227 0.0000  2 N 2.28
Tl4 0.8773 0.6227 0.0000  2 N 2.28
N1 0.2341 0.7341 0.5000  2 Tl 2.28
N2 0.2659 0.2341 0.5000  2 Tl 2.28
N3 0.7341 0.7659 0.5000  2 Tl 2.28
N4 0.7659 0.2659 0.5000  2 Tl 2.28

Values from the calculation:
As for the density of states at the Fermi level: 0.51 states/eV/atom.


Question: which arrangement is favored energetically? Ranking from most to least stable: 1, 2.


--- 1 ---
VASP calculation (PBE-GGA) on YTl3N after structural relaxation.

Lattice parameters (Å, degrees): 5.9081 5.9081 5.9081 90.00 90.00 90.00
Closest atoms and distances in Å follow each position.
Atoms (fractional coordinates):
Y1 0.0000 0.0000 0.0000  6 Tl 2.95
Tl1 0.0000 0.0000 0.5000  2 Y 2.95
Tl2 0.0000 0.5000 0.0000  2 Y 2.95
Tl3 0.5000 0.0000 0.0000  2 Y 2.95
N1 0.5000 0.5000 0.5000  12 Tl 4.18

Values from the calculation:
As for the density of states at the Fermi level: 1.40 states/eV/atom.


--- 2 ---
VASP calculation (PBE-GGA) on YTl3N after structural relaxation.

Lattice parameters (Å, degrees): 4.9957 4.9957 4.9957 90.00 90.00 90.00
Closest atoms and distances in Å follow each position.
Atoms (fractional coordinates):
Y1 0.0000 0.0000 0.0000  12 Tl 3.53
Tl1 0.0000 0.5000 0.5000  2 N 2.50
Tl2 0.5000 0.0000 0.5000  2 N 2.50
Tl3 0.5000 0.5000 0.0000  2 N 2.50
N1 0.5000 0.5000 0.5000  6 Tl 2.50

Values from the calculation:
As for the density of states at the Fermi level: 0.98 states/eV/atom.


Question: which arrangement is favored energetically? Ranking from most to least stable: 2, 1.


--- 1 ---
VASP calculation (PBE-GGA) on TlZn2N after structural relaxation.

Lattice parameters (Å, degrees): 6.0459 6.0459 6.0459 120.52 120.52 89.09
Closest atoms and distances in Å follow each position.
Atoms (fractional coordinates):
Tl1 0.0000 0.0000 0.0000  4 Zn 3.04
Tl2 0.7500 0.2500 0.5000  4 Zn 3.04
Zn1 0.2773 0.6250 0.1523  2 N 1.94
Zn2 0.3750 0.5273 0.6523  2 N 1.94
Zn3 0.4727 0.1250 0.8477  2 N 1.94
Zn4 0.8750 0.7227 0.3477  2 N 1.94
N1 0.2500 0.7500 0.5000  4 Zn 1.94
N2 0.5000 0.5000 0.0000  4 Zn 1.94

Values from the calculation:
As for the density of states at the Fermi level: 0.23 states/eV/atom.


--- 2 ---
VASP calculation (PBE-GGA) on TlZn2N after structural relaxation.

Lattice parameters (Å, degrees): 4.5680 4.5680 4.5680 60.00 60.00 60.00
Closest atoms and distances in Å follow each position.
Atoms (fractional coordinates):
Tl1 0.0000 0.0000 0.0000  8 Zn 2.80
Zn1 0.2500 0.2500 0.2500  4 Tl 2.80, 4 N 2.80
Zn2 0.7500 0.7500 0.7500  4 Tl 2.80, 4 N 2.80
N1 0.5000 0.5000 0.5000  8 Zn 2.80

Values from the calculation:
As for the density of states at the Fermi level: 0.22 states/eV/atom.


Question: which arrangement is favored energetically? Ranking from most to least stable: 1, 2.


--- 1 ---
VASP calculation (PBE-GGA) on Tl3ZnN after structural relaxation.

Lattice parameters (Å, degrees): 5.2564 5.2564 5.2564 90.00 90.00 90.00
Closest atoms and distances in Å follow each position.
Atoms (fractional coordinates):
Tl1 0.0000 0.0000 0.5000  2 Zn 2.63
Tl2 0.0000 0.5000 0.0000  2 Zn 2.63
Tl3 0.5000 0.0000 0.0000  2 Zn 2.63
Zn1 0.0000 0.0000 0.0000  6 Tl 2.63
N1 0.5000 0.5000 0.5000  12 Tl 3.72

Values from the calculation:
As for the density of states at the Fermi level: 1.15 states/eV/atom.


--- 2 ---
VASP calculation (PBE-GGA) on Tl3ZnN after structural relaxation.

Lattice parameters (Å, degrees): 5.0236 5.0236 5.0236 90.00 90.00 90.00
Closest atoms and distances in Å follow each position.
Atoms (fractional coordinates):
Tl1 0.0000 0.0000 0.5000  2 N 2.51
Tl2 0.0000 0.5000 0.0000  2 N 2.51
Tl3 0.5000 0.0000 0.0000  2 N 2.51
Zn1 0.5000 0.5000 0.5000  12 Tl 3.55
N1 0.0000 0.0000 0.0000  6 Tl 2.51

Values from the calculation:
As for the density of states at the Fermi level: 0.61 states/eV/atom.


Question: which arrangement is favored energetically? Ranking from most to least stable: 2, 1.